Run A
## CuRePt (PBE)

Data for CuRePt after structural relaxation.

Geometry as CIF:
```
data_CuRePt
_symmetry_space_group_name_H-M 'P -1'
_symmetry_Int_Tables_number 2
_symmetry_space_group_name_Hall '-P 1'
_cell_length_a 2.705
_cell_length_b 4.787
_cell_length_c 7.183
_cell_angle_alpha 97.87
_cell_angle_beta 100.85
_cell_angle_gamma 106.35
loop_
_atom_site_label
_atom_site_type_symbol
_atom_site_fract_x
_atom_site_fract_y
_atom_site_fract_z
Cu1 Cu 0.087 0.262 0.413
Re1 Re 0.420 0.261 0.077
Pt1 Pt 0.260 0.759 0.263
```

Results
Magnetic moment in μB/cell: 0.0
Fermi-level density of states in states/eV/cell: 3.290
Theoretical density in g cm⁻³: 17.2

Run B
## CuRePt (PBE)

Data for CuRePt after structural relaxation.

Geometry as CIF:
```
data_CuRePt
_symmetry_space_group_name_H-M 'C 1 m 1'
_symmetry_Int_Tables_number 8
_symmetry_space_group_name_Hall 'C -2y'
_cell_length_a 11.504
_cell_length_b 4.000
_cell_length_c 3.757
_cell_angle_alpha 90.00
_cell_angle_beta 90.11
_cell_angle_gamma 90.00
loop_
_atom_site_label
_atom_site_type_symbol
_atom_site_fract_x
_atom_site_fract_y
_atom_site_fract_z
Cu1 Cu 0.000 0.000 0.000
Cu2 Cu 0.156 0.000 0.501
Re1 Re 0.337 0.000 0.005
Re2 Re 0.489 0.000 0.490
Pt1 Pt 0.164 0.500 0.004
Pt2 Pt 0.340 0.500 0.509
```

Results
Magnetic moment in μB/cell: 0.0
Fermi-level density of states in states/eV/cell: 7.497
Theoretical density in g cm⁻³: 17.1

Going by the energies, run A is most stable and the next is 7.5 kJ/mol of atoms up.

Run A
## CuRePt (PBE)

Data for CuRePt after structural relaxation.

Geometry as CIF:
```
data_CuRePt
_symmetry_space_group_name_H-M 'P 3 m 1'
_symmetry_Int_Tables_number 156
_symmetry_space_group_name_Hall 'P 3 -2"'
_cell_length_a 4.3186
_cell_length_b 4.3186
_cell_length_c 2.6413
_cell_angle_alpha 90.00
_cell_angle_beta 90.00
_cell_angle_gamma 120.00
loop_
_atom_site_label
_atom_site_type_symbol
_atom_site_fract_x
_atom_site_fract_y
_atom_site_fract_z
Cu1 Cu 0.0000 0.0000 0.0000
Re1 Re 0.3333 0.6667 0.4980
Pt1 Pt 0.6667 0.3333 0.9976
```

Results
Magnetic moment in μB/cell: 0.0
Fermi-level density of states in states/eV/cell: 2.402
Theoretical density in g cm⁻³: 17.3

Run B
## CuRePt (PBE)

Data for CuRePt after structural relaxation.

Geometry as CIF:
```
data_CuRePt
_symmetry_space_group_name_H-M 'A m m 2'
_symmetry_Int_Tables_number 38
_symmetry_space_group_name_Hall 'A 2 -2'
_cell_length_a 3.729
_cell_length_b 12.039
_cell_length_c 3.864
_cell_angle_alpha 90.00
_cell_angle_beta 90.00
_cell_angle_gamma 90.00
loop_
_atom_site_label
_atom_site_type_symbol
_atom_site_fract_x
_atom_site_fract_y
_atom_site_fract_z
Cu1 Cu 0.000 0.166 0.000
Re1 Re 0.000 0.000 0.447
Re2 Re 0.500 0.000 0.016
Pt1 Pt 0.500 0.164 0.512
```

Results
Magnetic moment in μB/cell: 0.0
Fermi-level density of states in states/eV/cell: 9.595
Theoretical density in g cm⁻³: 17.0

Going by the energies, run B is most stable and the next is 8.9 kJ/mol of atoms up.

Run A
## CuRePt (PBE)

Data for CuRePt after structural relaxation.

Geometry as CIF:
```
data_CuRePt
_symmetry_space_group_name_H-M 'P m m 2'
_symmetry_Int_Tables_number 25
_symmetry_space_group_name_Hall 'P 2 -2'
_cell_length_a 2.733
_cell_length_b 4.226
_cell_length_c 7.467
_cell_angle_alpha 90.00
_cell_angle_beta 90.00
_cell_angle_gamma 90.00
loop_
_atom_site_label
_atom_site_type_symbol
_atom_site_fract_x
_atom_site_fract_y
_atom_site_fract_z
Cu1 Cu 0.000 0.000 0.000
Cu2 Cu 0.000 0.500 0.194
Re1 Re 0.000 0.000 0.650
Re2 Re 0.500 0.500 0.519
Pt1 Pt 0.500 0.000 0.306
Pt2 Pt 0.500 0.500 0.869
```

Results
Magnetic moment in μB/cell: 0.0
Fermi-level density of states in states/eV/cell: 4.758
Theoretical density in g cm⁻³: 17.1

Run B
## CuRePt (PBE)

Data for CuRePt after structural relaxation.

Geometry as CIF:
```
data_CuRePt
_symmetry_space_group_name_H-M 'F -4 3 m'
_symmetry_Int_Tables_number 216
_symmetry_space_group_name_Hall 'F -4 2 3'
_cell_length_a 5.854
_cell_length_b 5.854
_cell_length_c 5.854
_cell_angle_alpha 90.00
_cell_angle_beta 90.00
_cell_angle_gamma 90.00
loop_
_atom_site_label
_atom_site_type_symbol
_atom_site_fract_x
_atom_site_fract_y
_atom_site_fract_z
Cu1 Cu 0.000 0.000 0.000
Re1 Re 0.000 0.000 0.500
Pt1 Pt 0.250 0.250 0.250
```

Results
Magnetic moment in μB/cell: 0.0
Fermi-level density of states in states/eV/cell: 3.801
Theoretical density in g cm⁻³: 14.7

Going by the energies, run A is most stable and the next is 44.0 kJ/mol of atoms up.

Run A
## CuRePt (PBE)

Data for CuRePt after structural relaxation.

Geometry as CIF:
```
data_CuRePt
_symmetry_space_group_name_H-M 'C 1 2/m 1'
_symmetry_Int_Tables_number 12
_symmetry_space_group_name_Hall '-C 2y'
_cell_length_a 9.928
_cell_length_b 2.757
_cell_length_c 6.503
_cell_angle_alpha 90.00
_cell_angle_beta 104.93
_cell_angle_gamma 90.00
loop_
_atom_site_label
_atom_site_type_symbol
_atom_site_fract_x
_atom_site_fract_y
_atom_site_fract_z
Cu1 Cu 0.194 0.000 0.135
Re1 Re 0.142 0.000 0.526
Pt1 Pt 0.029 0.500 0.801
```

Results
Magnetic moment in μB/cell: 0.0
Fermi-level density of states in states/eV/cell: 9.115
Theoretical density in g cm⁻³: 17.2

Run B
## CuRePt (PBE)

Data for CuRePt after structural relaxation.

Geometry as CIF:
```
data_CuRePt
_symmetry_space_group_name_H-M 'C 1 m 1'
_symmetry_Int_Tables_number 8
_symmetry_space_group_name_Hall 'C -2y'
_cell_length_a 9.864
_cell_length_b 2.722
_cell_length_c 6.609
_cell_angle_alpha 90.00
_cell_angle_beta 96.40
_cell_angle_gamma 90.00
loop_
_atom_site_label
_atom_site_type_symbol
_atom_site_fract_x
_atom_site_fract_y
_atom_site_fract_z
Cu1 Cu 0.000 0.000 0.000
Cu2 Cu 0.167 0.000 0.357
Re1 Re 0.088 0.500 0.692
Re2 Re 0.344 0.500 0.630
Pt1 Pt 0.261 0.000 0.964
Pt2 Pt 0.430 0.000 0.319
```

Results
Magnetic moment in μB/cell: 0.0
Fermi-level density of states in states/eV/cell: 10.896
Theoretical density in g cm⁻³: 16.8

Going by the energies, run A is most stable and the next is 8.6 kJ/mol of atoms up.

Run A
## CuRePt (PBE)

Data for CuRePt after structural relaxation.

Geometry as CIF:
```
data_CuRePt
_symmetry_space_group_name_H-M 'C m c m'
_symmetry_Int_Tables_number 63
_symmetry_space_group_name_Hall '-C 2c 2'
_cell_length_a 2.775
_cell_length_b 14.090
_cell_length_c 4.371
_cell_angle_alpha 90.00
_cell_angle_beta 90.00
_cell_angle_gamma 90.00
loop_
_atom_site_label
_atom_site_type_symbol
_atom_site_fract_x
_atom_site_fract_y
_atom_site_fract_z
Cu1 Cu 0.000 0.057 0.250
Re1 Re 0.000 0.278 0.750
Pt1 Pt 0.000 0.394 0.250
```

Results
Magnetic moment in μB/cell: 0.0
Fermi-level density of states in states/eV/cell: 7.639
Theoretical density in g cm⁻³: 17.3

Run B
## CuRePt (PBE)

Data for CuRePt after structural relaxation.

Geometry as CIF:
```
data_CuRePt
_symmetry_space_group_name_H-M 'C 1 m 1'
_symmetry_Int_Tables_number 8
_symmetry_space_group_name_Hall 'C -2y'
_cell_length_a 8.603
_cell_length_b 3.812
_cell_length_c 5.507
_cell_angle_alpha 90.00
_cell_angle_beta 106.66
_cell_angle_gamma 90.00
loop_
_atom_site_label
_atom_site_type_symbol
_atom_site_fract_x
_atom_site_fract_y
_atom_site_fract_z
Cu1 Cu 0.000 0.000 0.000
Cu2 Cu 0.168 0.500 0.322
Re1 Re 0.179 0.500 0.817
Re2 Re 0.328 0.000 0.670
Pt1 Pt 0.003 0.000 0.498
Pt2 Pt 0.325 0.000 0.162
```

Results
Magnetic moment in μB/cell: 0.0
Fermi-level density of states in states/eV/cell: 8.409
Theoretical density in g cm⁻³: 17.1

Run C
## CuRePt (PBE)

Data for CuRePt after structural relaxation.

Geometry as CIF:
```
data_CuRePt
_symmetry_space_group_name_H-M 'A m m 2'
_symmetry_Int_Tables_number 38
_symmetry_space_group_name_Hall 'A 2 -2'
_cell_length_a 4.359
_cell_length_b 2.740
_cell_length_c 14.436
_cell_angle_alpha 90.00
_cell_angle_beta 90.00
_cell_angle_gamma 90.00
loop_
_atom_site_label
_atom_site_type_symbol
_atom_site_fract_x
_atom_site_fract_y
_atom_site_fract_z
Cu1 Cu 0.000 0.000 0.000
Cu2 Cu 0.000 0.000 0.334
Re1 Re 0.000 0.000 0.667
Re2 Re 0.500 0.000 0.108
Pt1 Pt 0.500 0.000 0.448
Pt2 Pt 0.500 0.000 0.779
```

Results
Magnetic moment in μB/cell: 0.0
Fermi-level density of states in states/eV/cell: 7.620
Theoretical density in g cm⁻³: 17.1

Going by the energies, run A is most stable and the next is 0.8 kJ/mol of atoms up.